Record 1
## LuCoSn (meta-GGA SCAN)

Data for a crystal of LuCoSn relaxed with PBEsol.

For the calculated formation energy, the calculation gives -0.452 eV/atom. As for the density of states at the Fermi level: 0.64 states/eV per atom. The symmetry is Pnma. The calculation puts the electronic total energy at -439.7 eV for the cell shown.

extended XYZ file:
```
12
Lattice="6.691 0.000 0.000 0.000 4.307 0.000 0.000 0.000 7.611" Properties=species:S:1:pos:R:3 pbc="T T T"
Lu 0.127 1.077 1.435
Lu 3.218 3.230 5.240
Lu 3.473 1.077 2.371
Lu 6.564 3.230 6.176
Co 1.537 3.230 3.024
Co 1.809 1.077 6.830
Co 4.882 3.230 0.781
Co 5.154 1.077 4.586
Sn 1.140 1.077 4.368
Sn 2.205 3.230 0.563
Sn 4.486 1.077 7.048
Sn 5.551 3.230 3.242
```

Record 2
## MgCo2 (meta-GGA SCAN)

Data for a crystal of MgCo2 relaxed with PBEsol.

For the calculated formation energy, the calculation gives 0.139 eV/atom. As for the density of states at the Fermi level: 0.66 states/eV per atom. The symmetry is C2/m. The calculation puts the electronic total energy at -156.7 eV for the cell shown.

extended XYZ file:
```
12
Lattice="9.362 0.000 0.000 0.000 2.664 0.000 -2.278 0.000 6.146" Properties=species:S:1:pos:R:3 pbc="T T T"
Mg 1.228 0.000 0.738
Mg 1.175 1.332 5.408
Mg 5.909 1.332 0.738
Mg 5.856 0.000 5.408
Co -1.351 1.332 4.503
Co 0.183 0.000 3.257
Co 2.221 1.332 2.889
Co 3.754 0.000 1.643
Co 3.330 0.000 4.503
Co 4.863 1.332 3.257
Co 6.902 0.000 2.889
Co 8.435 1.332 1.643
```

Record 3
## MgCo2 (meta-GGA SCAN)

Data for a crystal of MgCo2 relaxed with PBEsol.

For the calculated formation energy, the calculation gives 0.011 eV/atom. As for the density of states at the Fermi level: 0.77 states/eV per atom. The symmetry is P6_3/mmc. The calculation puts the electronic total energy at -158.2 eV for the cell shown.

extended XYZ file:
```
12
Lattice="4.750 0.000 0.000 -2.375 4.114 0.000 0.000 0.000 7.749" Properties=species:S:1:pos:R:3 pbc="T T T"
Mg 0.000 2.743 0.492
Mg 0.000 2.743 3.382
Mg 2.375 1.371 4.367
Mg 2.375 1.371 7.257
Co 0.000 0.000 0.000
Co 0.000 0.000 3.875
Co 0.000 1.404 5.812
Co -1.159 3.412 5.812
Co 1.216 0.702 1.937
Co 1.159 3.412 5.812
Co 3.534 0.702 1.937
Co 2.375 2.710 1.937
```

Record 4
## MgCo (meta-GGA SCAN)

Data for a crystal of MgCo relaxed with PBEsol.

For the calculated formation energy, the calculation gives 0.116 eV/atom. As for the density of states at the Fermi level: 0.74 states/eV per atom. The symmetry is Fd-3m. The calculation puts the electronic total energy at -264.6 eV for the cell shown.

extended XYZ file:
```
24
Lattice="0.000 5.578 5.578 5.578 0.000 5.578 5.578 5.578 0.000" Properties=species:S:1:pos:R:3 pbc="T T T"
Mg 4.183 4.183 0.884
Mg 4.183 0.884 4.183
Mg 7.483 4.183 4.183
Mg 6.972 6.972 3.673
Mg 6.972 3.673 6.972
Mg 10.272 6.972 6.972
Mg 0.884 4.183 4.183
Mg 4.183 7.483 4.183
Mg 4.183 4.183 7.483
Mg 3.673 6.972 6.972
Mg 6.972 10.272 6.972
Mg 6.972 6.972 10.272
Co 5.578 2.789 2.789
Co 3.351 3.351 3.351
Co 5.016 5.016 3.351
Co 5.016 3.351 5.016
Co 7.805 6.140 6.140
Co 2.789 5.578 2.789
Co 2.789 2.789 5.578
Co 5.578 5.578 5.578
Co 3.351 5.016 5.016
Co 6.140 7.805 6.140
Co 6.140 6.140 7.805
Co 7.805 7.805 7.805
```